[1]
{
  "formula": "BaCoBP2HO9",
  "functional": "meta-GGA SCAN",
  "state": "single point on PBEsol structure",
  "dos_ef_per_ev_cell": 0.00,
  "spacegroup": "P-1",
  "total_magnetization_mub_per_fu": 3.00,
  "dft_energy_ev_per_atom": -12.086,
  "lattice_angstrom": [[5.309, 0.000, 0.000], [0.421, 7.928, 0.000], [1.529, 0.215, 8.124]],
  "species": ["Ba", "Ba", "Co", "Co", "B", "B", "P", "P", "P", "P", "H", "H", "O", "O", "O", "O", "O", "O", "O", "O", "O", "O", "O", "O", "O", "O", "O", "O", "O", "O"],
  "frac_coords": [[0.222, 0.312, 0.113], [0.778, 0.688, 0.887], [0.228, 0.799, 0.197], [0.772, 0.201, 0.803], [0.390, 0.749, 0.546], [0.610, 0.251, 0.454], [0.275, 0.942, 0.821], [0.298, 0.433, 0.697], [0.702, 0.567, 0.303], [0.725, 0.058, 0.179], [0.277, 0.958, 0.431], [0.723, 0.042, 0.569], [0.006, 0.985, 0.784], [0.050, 0.380, 0.808], [0.228, 0.618, 0.638], [0.240, 0.838, 0.436], [0.259, 0.790, 0.946], [0.363, 0.326, 0.539], [0.412, 0.091, 0.867], [0.463, 0.869, 0.660], [0.478, 0.571, 0.209], [0.522, 0.429, 0.791], [0.537, 0.131, 0.340], [0.588, 0.909, 0.133], [0.637, 0.674, 0.461], [0.741, 0.210, 0.054], [0.760, 0.162, 0.564], [0.772, 0.382, 0.362], [0.950, 0.620, 0.192], [0.994, 0.015, 0.216]]
}

=====

[2]
{
  "formula": "Ba2CoB6O12",
  "functional": "meta-GGA SCAN",
  "state": "single point on PBEsol structure",
  "raw_formation_energy_ev_per_atom": -2.668,
  "dos_ef_per_ev_cell": 6.87,
  "spacegroup": "R-3",
  "total_magnetization_mub_per_fu": 3.00,
  "lattice_angstrom": [[3.530, 2.038, 5.481], [-3.530, 2.038, 5.481], [0.000, -4.076, 5.481]],
  "species": ["Ba", "Ba", "Co", "B", "B", "B", "B", "B", "B", "O", "O", "O", "O", "O", "O", "O", "O", "O", "O", "O", "O"],
  "frac_coords": [[0.211, 0.211, 0.211], [0.789, 0.789, 0.789], [0.000, 0.000, 0.000], [0.242, 0.636, 0.355], [0.355, 0.242, 0.636], [0.364, 0.645, 0.758], [0.636, 0.355, 0.242], [0.645, 0.758, 0.364], [0.758, 0.364, 0.645], [0.080, 0.844, 0.314], [0.156, 0.686, 0.920], [0.194, 0.464, 0.574], [0.314, 0.080, 0.844], [0.426, 0.806, 0.536], [0.464, 0.574, 0.194], [0.536, 0.426, 0.806], [0.574, 0.194, 0.464], [0.686, 0.920, 0.156], [0.806, 0.536, 0.426], [0.844, 0.314, 0.080], [0.920, 0.156, 0.686]]
}

=====

[3]
{
  "formula": "Ba2CoBS",
  "functional": "meta-GGA SCAN",
  "state": "single point on PBEsol structure",
  "raw_formation_energy_ev_per_atom": -0.472,
  "dos_ef_per_ev_cell": 2.31,
  "spacegroup": "P4/mmm",
  "total_magnetization_mub_per_fu": 1.09,
  "lattice_angstrom": [[5.664, 0.000, 0.000], [0.000, 5.664, 0.000], [0.000, 0.000, 3.796]],
  "species": ["Ba", "Ba", "Co", "B", "S"],
  "frac_coords": [[0.000, 0.500, 0.000], [0.500, 0.000, 0.000], [0.000, 0.000, 0.500], [0.000, 0.000, 0.000], [0.500, 0.500, 0.500]]
}

=====

[4]
{
  "formula": "BaCoB2Te",
  "functional": "meta-GGA SCAN",
  "state": "single point on PBEsol structure",
  "raw_formation_energy_ev_per_atom": 1.293,
  "dos_ef_per_ev_cell": 3.23,
  "spacegroup": "P4/mmm",
  "total_magnetization_mub_per_fu": 0.95,
  "lattice_angstrom": [[4.670, 0.000, 0.000], [0.000, 4.670, 0.000], [0.000, 0.000, 4.627]],
  "species": ["Ba", "Co", "B", "B", "Te"],
  "frac_coords": [[0.000, 0.000, 0.000], [0.500, 0.500, 0.000], [0.000, 0.500, 0.500], [0.500, 0.000, 0.500], [0.500, 0.500, 0.500]]
}